(1)
VASP calculation (GGA+U) on CrHgIO2 after structural relaxation.

ρ, Mg/m³: 5.62
DOS(E_F), states/eV/atom: 0.697
Energy, eV/atom: -3.54

```
data_CrHgIO2
_cell_length_a 4.1932
_cell_length_b 4.1932
_cell_length_c 6.9112
_cell_angle_alpha 90.00
_cell_angle_beta 90.00
_cell_angle_gamma 90.00
_space_group_name_H-M_alt 'P 1'
_space_group_IT_number 1
_space_group_name_Hall 'P 1'
loop_
_atom_site_label
_atom_site_type_symbol
_atom_site_fract_x
_atom_site_fract_y
_atom_site_fract_z
Cr1 Cr 0.0000 0.0000 0.0000
Hg1 Hg 0.5000 0.5000 0.5000
I1 I 0.5000 0.5000 0.0000
O1 O 0.0000 0.5000 0.5000
O2 O 0.5000 0.0000 0.5000
```



(2)
VASP calculation (GGA+U) on CrHgIO2 after structural relaxation.

ρ, Mg/m³: 6.52
DOS(E_F), states/eV/atom: 0.549
Energy, eV/atom: -4.27

```
data_CrHgIO2
_cell_length_a 3.9608
_cell_length_b 3.9608
_cell_length_c 6.6780
_cell_angle_alpha 90.00
_cell_angle_beta 90.00
_cell_angle_gamma 90.00
_space_group_name_H-M_alt 'P 1'
_space_group_IT_number 1
_space_group_name_Hall 'P 1'
loop_
_atom_site_label
_atom_site_type_symbol
_atom_site_fract_x
_atom_site_fract_y
_atom_site_fract_z
Cr1 Cr 0.0000 0.0000 0.0000
Hg1 Hg 0.5000 0.5000 0.5000
I1 I 0.0000 0.0000 0.5000
O1 O 0.0000 0.5000 0.0000
O2 O 0.5000 0.0000 0.0000
```



(3)
VASP calculation (GGA+U) on CrHgI2O after structural relaxation.

ρ, Mg/m³: 6.67
DOS(E_F), states/eV/atom: 0.675
Energy, eV/atom: -3.60

```
data_CrHgI2O
_cell_length_a 5.9199
_cell_length_b 5.9199
_cell_length_c 3.7084
_cell_angle_alpha 90.00
_cell_angle_beta 90.00
_cell_angle_gamma 90.00
_space_group_name_H-M_alt 'P 1'
_space_group_IT_number 1
_space_group_name_Hall 'P 1'
loop_
_atom_site_label
_atom_site_type_symbol
_atom_site_fract_x
_atom_site_fract_y
_atom_site_fract_z
Cr1 Cr 0.0000 0.0000 0.0000
Hg1 Hg 0.5000 0.5000 0.5000
I1 I 0.0000 0.5000 0.0000
I2 I 0.5000 0.0000 0.0000
O1 O 0.0000 0.0000 0.5000
```